The following is a PBE-GGA calculation of a geometry-optimized Pm3Pr3In5 structure, from Alexandria.

Structure (CIF):
```
data_Pm3Pr3In5
_cell_length_a 6.0295
_cell_length_b 8.9961
_cell_length_c 8.9961
_cell_angle_alpha 120.00
_cell_angle_beta 90.00
_cell_angle_gamma 90.00
_space_group_name_H-M_alt 'P 1'
_space_group_IT_number 1
_space_group_name_Hall 'P 1'
loop_
_atom_site_label
_atom_site_type_symbol
_atom_site_fract_x
_atom_site_fract_y
_atom_site_fract_z
_atom_site_occupancy
In1 In 0.5000 0.6667 0.3333 1
In2 In 0.5000 0.3952 0.3952 1
In3 In 0.5000 0.0000 0.6048 1
In4 In 0.5000 0.6048 0.0000 1
In5 In 0.5000 0.3333 0.6667 1
Pm1 Pm 0.5000 0.0000 0.2351 1
Pm2 Pm 0.5000 0.7649 0.7649 1
Pm3 Pm 0.5000 0.2351 0.0000 1
Pr1 Pr 0.0000 0.2835 0.0000 1
Pr2 Pr 0.0000 0.0000 0.2835 1
Pr3 Pr 0.0000 0.7165 0.7165 1
```

Computed properties:
Total moment ... 0.0 μB per cell
Formation energy from the elements ... 29 kJ/mol of atoms

---

The following is a PBE-GGA calculation of a geometry-optimized Pm2Pr3In structure, from Alexandria.

Structure (CIF):
```
data_Pm2Pr3In
_cell_length_a 5.0105
_cell_length_b 5.0239
_cell_length_c 8.2215
_cell_angle_alpha 107.79
_cell_angle_beta 90.00
_cell_angle_gamma 90.00
_space_group_name_H-M_alt 'P 1'
_space_group_IT_number 1
_space_group_name_Hall 'P 1'
loop_
_atom_site_label
_atom_site_type_symbol
_atom_site_fract_x
_atom_site_fract_y
_atom_site_fract_z
_atom_site_occupancy
Pr1 Pr 0.5000 0.1640 0.3280 1
Pr2 Pr 0.5000 0.5000 0.0000 1
Pr3 Pr 0.5000 0.8360 0.6720 1
Pm1 Pm 0.0000 0.6620 0.3241 1
Pm2 Pm 0.0000 0.3380 0.6759 1
In1 In 0.0000 0.0000 0.0000 1
```

Computed properties:
Excess energy over the best structure of this formula in the dataset ... 0.0 meV/atom
Total moment ... 0.0 μB per cell
Formation energy from the elements ... -15 kJ/mol of atoms